# 1
A plane-wave DFT calculation with PBE was carried out for Rb2TiGa after structural relaxation.

Results
Volume in Å³ per atom: 57.748
Theoretical density in Mg/m³: 2.1
DFT formation energy in meV per atom: 700
Magnetization in μB per cell: 7.60
Crystal system: tetragonal

abc: 13.4307 13.4307 5.1223
angles: 90.00 90.00 90.00
Space group I-42d (No. 122)
Inequivalent atoms, fractional coordinates:
Rb1 0.0761 0.7500 0.1250 (multiplicity 8)
Ti1 0.0000 0.0000 0.5000 (multiplicity 4)
Ga1 0.0000 0.0000 0.0000 (multiplicity 4)

=====

# 2
A plane-wave DFT calculation with PBE was carried out for Rb3TiGa after structural relaxation.

Results
Volume in Å³ per atom: 66.753
Theoretical density in Mg/m³: 1.9
DFT formation energy in meV per atom: 1103
Magnetization in μB per cell: 4.09
Crystal system: cubic

abc: 6.9366 6.9366 6.9366
angles: 90.00 90.00 90.00
Space group Pm-3m (No. 221)
Inequivalent atoms, fractional coordinates:
Rb1 0.0000 0.0000 0.5000 (multiplicity 3)
Ti1 0.0000 0.0000 0.0000 (multiplicity 1)
Ga1 0.5000 0.5000 0.5000 (multiplicity 1)

=====

# 3
A plane-wave DFT calculation with PBE was carried out for RbTiGa2 after structural relaxation.

Results
Volume in Å³ per atom: 34.846
Theoretical density in Mg/m³: 3.2
Energy above the most stable polymorph in this dataset in meV/atom: 0.0
DFT formation energy in meV per atom: 465
Magnetization in μB per cell: 9.33
Crystal system: tetragonal

abc: 5.5618 5.5618 18.0232
angles: 90.00 90.00 90.00
Space group I-42d (No. 122)
Inequivalent atoms, fractional coordinates:
Rb1 0.0000 0.0000 0.0000 (multiplicity 4)
Ti1 0.0000 0.0000 0.5000 (multiplicity 4)
Ga1 0.0016 0.7500 0.6250 (multiplicity 8)